<w>
NaPd2S2 PBE-GGA optimized geometry; crystal system = tetragonal
1.0
-4.4721 -5.6684 1.2492
5.5955 -3.7909 2.8303
-0.6680 1.1607 2.8753
Na S Pd
2 4 4
Cartesian
0.0000 0.0000 0.0000 Na
0.5617 -4.7296 2.0398 Na
3.1807 -5.1202 2.8059 S
-0.0727 -7.2651 2.9159 S
-2.0573 -4.3391 1.2736 S
1.1961 -2.1941 1.1636 S
2.6518 -2.8984 3.5357 Pd
1.3403 -6.3590 4.6279 Pd
-2.1964 -5.4001 3.4191 Pd
-0.8849 -1.9396 2.3269 Pd

=====

<x>
NaPd2S2 PBE-GGA optimized geometry; crystal system = tetragonal
1.0
-2.8515 1.1297 -2.7501
-2.0353 -3.5194 0.6646
-5.3420 1.2377 2.9619
Na S Pd
1 2 2
Cartesian
0.0000 0.0000 0.0000 Na
-3.1745 -0.5813 -0.0327 S
-7.0543 -0.5707 0.9090 S
-5.3184 0.5863 -0.4155 Pd
-4.9103 -1.7383 1.2919 Pd

=====

Relative energy table, unit meV/atom: <w> 93; <x> 0